{"formula": "Li2SnAu8", "functional": "PBE", "state": "relaxed", "spacegroup": "No. 12", "formation_energy_ev_per_atom": -0.245, "total_magnetization_mub_per_fu": 0.00, "total_energy_ev_per_atom": -3.34, "volume_a3_per_atom": 17.8, "lattice": [[7.469, -2.077, 0.000], [7.469, 2.077, 0.000], [-1.835, 0.000, 6.314]], "species": ["Li", "Li", "Sn", "Au", "Au", "Au", "Au", "Au", "Au", "Au", "Au"], "fractional_positions": [[0.223, 0.223, 0.147], [0.777, 0.777, 0.853], [0.500, 0.500, 0.500], [0.049, 0.049, 0.218], [0.147, 0.147, 0.704], [0.317, 0.317, 0.589], [0.397, 0.397, 0.042], [0.603, 0.603, 0.958], [0.683, 0.683, 0.411], [0.853, 0.853, 0.296], [0.951, 0.951, 0.782]]}